Entry from Alexandria via LeMat-Bulk: an optimized crystal structure of MnAs2PW (PBE-GGA).

a = 4.813 Å, b = 4.813 Å, c = 4.666 Å
α = 90.00°, β = 90.00°, γ = 90.00°
Sites, in units of the cell vectors:
Mn 0.000 0.000 0.000
As 0.000 0.500 0.500
As 0.500 0.000 0.500
P 0.500 0.500 0.000
W 0.000 0.000 0.500

Summary:
- crystal system = tetragonal
- ΔE_f (eV/atom) = 1.318
- energy (eV/f.u.) = -30.242